# 1
First-principles (PBE-GGA) data for an optimized crystal structure of CeRh2Au3, as listed in the Alexandria database.

Lattice parameters (Å, degrees): 6.1243 6.1243 6.9459 77.00 77.00 75.99
Closest atoms and distances in Å follow each position.
Fractional positions:
Au  0.6959  0.3041  0.2500  4 Au 2.81-2.96, 4 Rh 2.90-2.91, 1 Ce 3.06
Au  0.6051  0.7406  0.0116  4 Rh 2.76-2.90, 2 Au 2.81-2.96
Au  0.3949  0.2594  0.9884  4 Rh 2.76-2.90, 2 Au 2.81-2.96
Au  0.7406  0.6051  0.5116  4 Rh 2.76-2.90, 2 Au 2.81-2.96
Au  0.2594  0.3949  0.4884  4 Rh 2.76-2.90, 2 Au 2.81-2.96
Au  0.3041  0.6959  0.7500  4 Au 2.81-2.96, 4 Rh 2.90-2.91, 1 Ce 3.06
Rh  0.4067  0.9661  0.3533  1 Ce 2.30
Rh  0.0339  0.5933  0.1467  1 Ce 2.30
Rh  0.9661  0.4067  0.8533  1 Ce 2.30
Rh  0.5933  0.0339  0.6467  1 Ce 2.30
Ce  0.1011  0.8989  0.2500  2 Rh 2.30
Ce  0.8989  0.1011  0.7500  2 Rh 2.30


# 2
First-principles (PBE-GGA) data for an optimized crystal structure of Mg5In4, as listed in the Alexandria database.

Output
Polymorph energy (0 for the lowest one) in meV/atom: 5

Lattice parameters (Å, degrees): 4.4375 7.2798 7.2798 84.67 72.25 72.25
Closest atoms and distances in Å follow each position.
Fractional positions:
Mg  0.0000  0.0000  0.0000  8 In 3.21, 4 Mg 3.27
Mg  0.6665  0.3335  0.3335  6 Mg 3.20-3.27, 6 In 3.20-3.26
Mg  0.0000  0.3335  0.6665  6 Mg 3.20-3.27, 6 In 3.20-3.26
Mg  0.3335  0.6665  0.6665  6 Mg 3.20-3.27, 6 In 3.20-3.26
Mg  0.0000  0.6665  0.3335  6 Mg 3.20-3.27, 6 In 3.20-3.26
In  0.3327  0.0000  0.3346  4 In 3.19-3.28, 8 Mg 3.20-3.26
In  0.6673  0.0000  0.6654  4 In 3.19-3.28, 8 Mg 3.20-3.26
In  0.3327  0.3346  0.0000  4 In 3.19-3.28, 8 Mg 3.20-3.26
In  0.6673  0.6654  0.0000  4 In 3.19-3.28, 8 Mg 3.20-3.26


# 3
First-principles (PBE-GGA) data for an optimized crystal structure of Mg12Ga2Sn5, as listed in the Alexandria database.

Lattice parameters (Å, degrees): 6.8017 8.7073 9.7668 107.18 90.00 112.99
Closest atoms and distances in Å follow each position.
Fractional positions:
Ga  0.1777  0.0000  0.0000  1 Ga 2.42
Ga  0.8223  0.0000  0.0000  1 Ga 2.42
Mg  0.0767  0.1533  0.8024  1 Sn 2.81, 2 Ga 2.87
Mg  0.5178  0.0356  0.1807  2 Ga 2.77, 2 Sn 2.85-2.86
Mg  0.4397  0.3659  0.0972  1 Ga 2.83, 3 Sn 2.90-3.08
Mg  0.0739  0.6341  0.9028  1 Ga 2.83, 3 Sn 2.90-3.08
Mg  0.4822  0.9644  0.8193  2 Ga 2.77, 2 Sn 2.85-2.86
Mg  0.9261  0.3659  0.0972  1 Ga 2.83, 3 Sn 2.90-3.08
Mg  0.4066  0.2951  0.5542  4 Sn 2.86-3.03
Mg  0.9233  0.8467  0.1976  1 Sn 2.81, 2 Ga 2.87
Mg  0.5603  0.6341  0.9028  1 Ga 2.83, 3 Sn 2.90-3.08
Mg  0.8886  0.2951  0.5542  4 Sn 2.86-3.03
Mg  0.1114  0.7049  0.4458  4 Sn 2.86-3.03
Mg  0.5934  0.7049  0.4458  4 Sn 2.86-3.03
Sn  0.6994  0.3989  0.3484  7 Mg 2.85-2.92
Sn  0.6611  0.3223  0.8217  7 Mg 2.86-3.08
Sn  0.0000  0.0000  0.5000  6 Mg 2.81-2.86
Sn  0.3006  0.6011  0.6516  7 Mg 2.85-2.92
Sn  0.3389  0.6777  0.1783  7 Mg 2.86-3.08


# 4
First-principles (PBE-GGA) data for an optimized crystal structure of TmNi10B3, as listed in the Alexandria database.

Lattice parameters (Å, degrees): 7.5154 7.5154 7.5154 60.00 60.00 60.00
Closest atoms and distances in Å follow each position.
Fractional positions:
Ni  0.3874  0.3874  0.3874  3 B 2.10
Ni  0.3344  0.0000  0.0000  2 B 2.08
Ni  0.3874  0.3874  0.8379  3 B 2.10
Ni  0.0000  0.3344  0.6656  2 B 2.08
Ni  0.0000  0.0000  0.6656  2 B 2.08
Ni  0.0000  0.3344  0.0000  2 B 2.08
Ni  0.6656  0.0000  0.3344  2 B 2.08
Ni  0.6656  0.0000  0.0000  2 B 2.08
Ni  0.6656  0.3344  0.0000  2 B 2.08
Ni  0.3344  0.6656  0.0000  2 B 2.08
Ni  0.8379  0.3874  0.3874  3 B 2.10
Ni  0.6126  0.6126  0.6126  3 B 2.10
Ni  0.3344  0.0000  0.6656  2 B 2.08
Ni  0.1621  0.6126  0.6126  3 B 2.10
Ni  0.6126  0.1621  0.6126  3 B 2.10
Ni  0.0000  0.0000  0.3344  2 B 2.08
Ni  0.6126  0.6126  0.1621  3 B 2.10
Ni  0.0000  0.6656  0.3344  2 B 2.08
Ni  0.3874  0.8379  0.3874  3 B 2.10
Ni  0.0000  0.6656  0.0000  2 B 2.08
Tm  0.7500  0.7500  0.7500  4 Ni 2.53
Tm  0.2500  0.2500  0.2500  4 Ni 2.53
B  0.2697  0.2697  0.7303  8 Ni 2.08-2.10
B  0.2697  0.7303  0.7303  8 Ni 2.08-2.10
B  0.2697  0.7303  0.2697  8 Ni 2.08-2.10
B  0.7303  0.2697  0.7303  8 Ni 2.08-2.10
B  0.7303  0.7303  0.2697  8 Ni 2.08-2.10
B  0.7303  0.2697  0.2697  8 Ni 2.08-2.10


no.,total DFT energy (no corrections) (eV for the cell shown),energy of formation from the pure elements (meV/atom)
1,-64.61,-306
2,-19.47,-61
3,-45.92,-38
4,-173.78,-327